# MoPd, optimized geometry, DFT PBE
# Electronic total energy in eV/atom: -7.998
data_MoPd
_cell_length_a 2.7442
_cell_length_b 4.9747
_cell_length_c 5.2810
_cell_angle_alpha 118.08
_cell_angle_beta 102.04
_cell_angle_gamma 90.06
_symmetry_space_group_name_H-M 'P -1'
_symmetry_Int_Tables_number 2
_symmetry_space_group_name_Hall '-P 1'
loop_
_atom_site_label
_atom_site_type_symbol
_atom_site_fract_x
_atom_site_fract_y
_atom_site_fract_z
Mo1 Mo 0.0756 0.2874 0.2576
Pd1 Pd 0.3882 0.2095 0.7602

---

# MoPd, optimized geometry, DFT PBE
# Electronic total energy in eV/atom: -6.912
data_MoPd
_cell_length_a 5.2222
_cell_length_b 5.2222
_cell_length_c 5.2222
_cell_angle_alpha 90.00
_cell_angle_beta 90.00
_cell_angle_gamma 90.00
_symmetry_space_group_name_H-M 'F m -3 m'
_symmetry_Int_Tables_number 225
_symmetry_space_group_name_Hall '-F 4 2 3'
loop_
_atom_site_label
_atom_site_type_symbol
_atom_site_fract_x
_atom_site_fract_y
_atom_site_fract_z
Mo1 Mo 0.0000 0.0000 0.0000
Pd1 Pd 0.0000 0.0000 0.5000

---

# MoPd2, optimized geometry, DFT PBE
# Electronic total energy in eV/atom: -7.167
data_MoPd2
_cell_length_a 8.3237
_cell_length_b 4.8677
_cell_length_c 4.5079
_cell_angle_alpha 90.00
_cell_angle_beta 90.00
_cell_angle_gamma 90.00
_symmetry_space_group_name_H-M 'C m c m'
_symmetry_Int_Tables_number 63
_symmetry_space_group_name_Hall '-C 2c 2'
loop_
_atom_site_label
_atom_site_type_symbol
_atom_site_fract_x
_atom_site_fract_y
_atom_site_fract_z
Mo1 Mo 0.0000 0.1684 0.2500
Pd1 Pd 0.1663 0.3312 0.7500

---

# MoPd, optimized geometry, DFT PBE
# Electronic total energy in eV/atom: -7.419
data_MoPd
_cell_length_a 10.5838
_cell_length_b 10.5838
_cell_length_c 2.9121
_cell_angle_alpha 90.00
_cell_angle_beta 90.00
_cell_angle_gamma 90.00
_symmetry_space_group_name_H-M 'I 4/m'
_symmetry_Int_Tables_number 87
_symmetry_space_group_name_Hall '-I 4'
loop_
_atom_site_label
_atom_site_type_symbol
_atom_site_fract_x
_atom_site_fract_y
_atom_site_fract_z
Mo1 Mo 0.1827 0.6904 0.0000
Pd1 Pd 0.0266 0.1852 0.0000

---

# MoPd, optimized geometry, DFT PBE
# Electronic total energy in eV/atom: -7.951
data_MoPd
_cell_length_a 4.7896
_cell_length_b 4.4705
_cell_length_c 5.7445
_cell_angle_alpha 90.00
_cell_angle_beta 90.00
_cell_angle_gamma 90.00
_symmetry_space_group_name_H-M 'P n m a'
_symmetry_Int_Tables_number 62
_symmetry_space_group_name_Hall '-P 2ac 2n'
loop_
_atom_site_label
_atom_site_type_symbol
_atom_site_fract_x
_atom_site_fract_y
_atom_site_fract_z
Mo1 Mo 0.0770 0.2500 0.1258
Pd1 Pd 0.0727 0.2500 0.6246

---

# MoPd, optimized geometry, DFT PBE
# Electronic total energy in eV/atom: -7.962
data_MoPd
_cell_length_a 2.6815
_cell_length_b 4.5551
_cell_length_c 5.0697
_cell_angle_alpha 90.00
_cell_angle_beta 90.00
_cell_angle_gamma 90.00
_symmetry_space_group_name_H-M 'P m m n'
_symmetry_Int_Tables_number 59
loop_
_symmetry_equiv_pos_as_xyz
'x,y,z'
'-x,-y,-z'
'-x+1/2,-y+1/2,z'
'x+1/2,y+1/2,-z'
'x+1/2,-y,-z'
'-x+1/2,y,z'
'-x,y+1/2,-z'
'x,-y+1/2,z'
loop_
_atom_site_label
_atom_site_type_symbol
_atom_site_fract_x
_atom_site_fract_y
_atom_site_fract_z
Mo1 Mo 0.2500 0.2500 0.1084
Pd1 Pd 0.2500 0.7500 0.4057

---

# MoPd, optimized geometry, DFT PBE
# Electronic total energy in eV/atom: -7.290
data_MoPd
_cell_length_a 5.1678
_cell_length_b 5.1678
_cell_length_c 5.3015
_cell_angle_alpha 90.00
_cell_angle_beta 90.00
_cell_angle_gamma 90.00
_symmetry_space_group_name_H-M 'P 42/m n m'
_symmetry_Int_Tables_number 136
_symmetry_space_group_name_Hall '-P 4n 2n'
loop_
_atom_site_label
_atom_site_type_symbol
_atom_site_fract_x
_atom_site_fract_y
_atom_site_fract_z
Mo1 Mo 0.1594 0.1594 0.0000
Pd1 Pd 0.1782 0.1782 0.5000

---

# MoPd, optimized geometry, DFT PBE
# Electronic total energy in eV/atom: -6.629
data_MoPd
_cell_length_a 7.8462
_cell_length_b 7.8462
_cell_length_c 7.8462
_cell_angle_alpha 90.00
_cell_angle_beta 90.00
_cell_angle_gamma 90.00
_symmetry_space_group_name_H-M 'I -4 3 m'
_symmetry_Int_Tables_number 217
_symmetry_space_group_name_Hall 'I -4 2 3'
loop_
_atom_site_label
_atom_site_type_symbol
_atom_site_fract_x
_atom_site_fract_y
_atom_site_fract_z
Mo1 Mo 0.1154 0.1154 0.1154
Pd1 Pd 0.1997 0.1997 0.8003

---

# MoPd7, optimized geometry, DFT PBE
# Electronic total energy in eV/atom: -5.959
data_MoPd7
_cell_length_a 3.9585
_cell_length_b 3.9585
_cell_length_c 15.6567
_cell_angle_alpha 90.00
_cell_angle_beta 90.00
_cell_angle_gamma 90.00
_symmetry_space_group_name_H-M 'I 4/m m m'
_symmetry_Int_Tables_number 139
_symmetry_space_group_name_Hall '-I 4 2'
loop_
_atom_site_label
_atom_site_type_symbol
_atom_site_fract_x
_atom_site_fract_y
_atom_site_fract_z
Mo1 Mo 0.0000 0.0000 0.0000
Pd1 Pd 0.0000 0.0000 0.2514
Pd2 Pd 0.0000 0.0000 0.5000
Pd3 Pd 0.0000 0.5000 0.1205

---

# Mo4Pd, optimized geometry, DFT PBE
# Electronic total energy in eV/atom: -7.534
data_Mo4Pd
_cell_length_a 4.6569
_cell_length_b 4.6569
_cell_length_c 4.6569
_cell_angle_alpha 90.00
_cell_angle_beta 90.00
_cell_angle_gamma 90.00
_symmetry_space_group_name_H-M 'P m -3 m'
_symmetry_Int_Tables_number 221
_symmetry_space_group_name_Hall '-P 4 2 3'
loop_
_atom_site_label
_atom_site_type_symbol
_atom_site_fract_x
_atom_site_fract_y
_atom_site_fract_z
Mo1 Mo 0.0000 0.0000 0.0000
Mo2 Mo 0.0000 0.5000 0.5000
Pd1 Pd 0.5000 0.5000 0.5000

---

# MoPd, optimized geometry, DFT PBE
# Electronic total energy in eV/atom: -7.996
data_MoPd
_cell_length_a 2.7248
_cell_length_b 2.7248
_cell_length_c 4.1311
_cell_angle_alpha 90.00
_cell_angle_beta 90.00
_cell_angle_gamma 90.00
_symmetry_space_group_name_H-M 'P 4/m m m'
_symmetry_Int_Tables_number 123
_symmetry_space_group_name_Hall '-P 4 2'
loop_
_atom_site_label
_atom_site_type_symbol
_atom_site_fract_x
_atom_site_fract_y
_atom_site_fract_z
Mo1 Mo 0.0000 0.0000 0.0000
Pd1 Pd 0.5000 0.5000 0.5000

---

# Mo3Pd2Pt3, optimized geometry, DFT PBE
# Electronic total energy in eV/atom: -7.652
data_Mo3Pd2Pt3
_cell_length_a 12.5353
_cell_length_b 4.5850
_cell_length_c 4.6738
_cell_angle_alpha 90.00
_cell_angle_beta 110.60
_cell_angle_gamma 90.00
_symmetry_space_group_name_H-M 'C 1 2/m 1'
_symmetry_Int_Tables_number 12
_symmetry_space_group_name_Hall '-C 2y'
loop_
_atom_site_label
_atom_site_type_symbol
_atom_site_fract_x
_atom_site_fract_y
_atom_site_fract_z
Mo1 Mo 0.0000 0.0000 0.0000
Mo2 Mo 0.1305 0.0000 0.6898
Pd1 Pd 0.2485 0.0000 0.3079
Pt1 Pt 0.0000 0.5000 0.5000
Pt2 Pt 0.1297 0.5000 0.0874